No. 1
! GGA-PBEsol KTaAl2, relaxed; values from VASP
&SYSTEM
  ibrav = 0, nat = 4, ntyp = 3
/
ATOMIC_SPECIES
K 39.10 K.upf
Ta 180.95 Ta.upf
Al 26.98 Al.upf
CELL_PARAMETERS angstrom
2.868 0.000 0.000
0.000 2.868 0.000
0.000 0.000 10.043
ATOMIC_POSITIONS crystal
K 0.000 0.000 0.000
Ta 0.500 0.500 0.316
Al 0.000 0.000 0.509
Al 0.500 0.500 0.711
! **Fermi-level density of states**: 0.364 states/eV/atom
! **Total magnetization**: 0.00 μB/atom
! **E**: -5.07 eV per atom

=====

No. 2
! GGA-PBEsol KAlZn2Tc, relaxed; values from VASP
&SYSTEM
  ibrav = 0, nat = 5, ntyp = 4
/
ATOMIC_SPECIES
K 39.10 K.upf
Al 26.98 Al.upf
Zn 65.41 Zn.upf
Tc 98.00 Tc.upf
CELL_PARAMETERS angstrom
4.866 0.000 0.000
0.000 4.866 0.000
0.000 0.000 4.775
ATOMIC_POSITIONS crystal
K 0.000 0.000 0.000
Al 0.500 0.500 0.500
Zn 0.000 0.500 0.500
Zn 0.500 0.000 0.500
Tc 0.500 0.500 0.000
! **Fermi-level density of states**: 0.497 states/eV/atom
! **Total magnetization**: 0.45 μB/atom
! **E**: -3.03 eV per atom